First-principles (PBE-GGA) data for a relaxed MoSe2Br crystal, as listed in Alexandria.

The structure belongs to space group F-43m (No. 216); the cell edges are 6.6629, 6.6629 and 6.6629 Å and the angles 90.00°, 90.00° and 90.00°. Symmetry generates all atoms from Mo at (0.0000, 0.0000, 0.0000), Se at (0.0000, 0.0000, 0.5000), Se at (0.2500, 0.2500, 0.2500) and Br at (0.2500, 0.2500, 0.7500).

Its energy above the most stable polymorph in this dataset is 952 meV per atom. As for the energy relative to the elements, uncorrected: 2.68 eV/f.u. The calculation puts the spin magnetization at 0.003 μB/atom.